Entry from Alexandria via LeMat-Bulk: a relaxed structure of Pa2BiAuO8 (PBE).

Unit cell a=6.6833 b=6.6833 c=6.6833 alpha=131.60 beta=131.60 gamma=70.86
Atoms (fractional coordinates):
Pa1 0.0000 0.0000 0.0000
Pa2 0.7500 0.2500 0.5000
Bi1 0.5000 0.5000 0.0000
Au1 0.2500 0.7500 0.5000
O1 0.1061 0.1264 0.4818
O2 0.1061 0.6243 0.9797
O3 0.3757 0.3554 0.4818
O4 0.3757 0.8939 0.0203
O5 0.6446 0.1264 0.0203
O6 0.6446 0.6243 0.5182
O7 0.8736 0.3554 0.9797
O8 0.8736 0.8939 0.5182

## Properties
- symmetry = I-4m2 (119)
- total magnetic moment (μB per cell) = 1.237
- uncorrected formation energy (eV per atom) = -2.19
- DOS(E_F) (states/eV/f.u.) = 8.13
- uncorrected energy (eV/atom) = -7.671